--- w ---
Density functional theory data (PBE) for a relaxed Ti2Zn2Au crystal.

Lattice parameters (Å, degrees): 7.9117 7.9117 2.7051 90.00 90.00 90.00
Space group P4/mbm (No. 127)
Inequivalent atoms, fractional coordinates:
Ti  0.1234  0.3766  0.0000 x4
Zn  0.1724  0.6724  0.5000 x4
Au  0.0000  0.0000  0.0000 x2

Properties
Total moment   0.00 μB per formula unit

--- x ---
Density functional theory data (PBE) for a relaxed Ti2Zn2Au crystal.

Lattice parameters (Å, degrees): 3.0438 3.5527 14.9645 90.00 90.00 90.00
Space group Immm (No. 71)
Inequivalent atoms, fractional coordinates:
Ti  0.0000  0.0000  0.2007 x4
Zn  0.0000  0.0000  0.4000 x4
Au  0.0000  0.0000  0.0000 x2

Properties
Total moment   0.00 μB per formula unit

Verdict on stability: w comes out at the bottom.

--- w ---
Density functional theory data (PBE) for a relaxed Ti2Zn2Au crystal.

Lattice parameters (Å, degrees): 6.7089 6.7089 3.5862 90.00 90.00 90.00
Space group P4/mbm (No. 127)
Inequivalent atoms, fractional coordinates:
Ti  0.1660  0.3340  0.0000 x4
Zn  0.1312  0.6312  0.5000 x4
Au  0.0000  0.0000  0.5000 x2

Properties
Total moment   0.00 μB per formula unit

--- x ---
Density functional theory data (PBE) for a relaxed Ti2Zn2Au crystal.

Lattice parameters (Å, degrees): 3.7489 3.7489 12.2073 90.00 90.00 90.00
Space group I4/mmm (No. 139)
Inequivalent atoms, fractional coordinates:
Ti  0.0000  0.5000  0.2500 x4
Zn  0.0000  0.0000  0.0951 x4
Au  0.0000  0.0000  0.5000 x2

Properties
Total moment   0.00 μB per formula unit

Verdict on stability: x comes out at the bottom.